The following is a PBE+U calculation of a geometry-optimized FeHgBrF2 structure, from the Alexandria database.

The final energy comes out at -0.210 Ry per atom. Its density of states at the Fermi level is 0.92 states/eV/f.u. The calculation puts the total magnetization at 0.957 μB/atom. The symmetry is P4/mmm (123).

abc: 4.4952 4.4952 5.8614
angles: 90.00 90.00 90.00
Closest atoms and distances in Å follow each position.
Positions (direct):
Fe 0.0000 0.0000 0.0000  4 Br 3.18
Hg 0.5000 0.5000 0.5000  4 F 2.25
Br 0.5000 0.5000 0.0000  2 Hg 2.93, 4 Fe 3.18
F 0.0000 0.5000 0.5000  2 Hg 2.25
F 0.5000 0.0000 0.5000  2 Hg 2.25